1.
A PBEsol-optimized structure of CdAsCl2, computed with SCAN.

* Fermi-level density of states: 1.9 states/eV/f.u.
* magnetic moment: 0.000 μB per cell
* raw formation energy: -100.2 kJ/mol of formula units
* space group: No. 160

abc: 3.572 3.572 8.619
angles: 78.04 78.04 60.00
Element x y z (fractional)
Cl (0.767, 0.767, 0.698)
Cl (0.980, 0.980, 0.060)
As (0.504, 0.504, 0.488)
Cd (0.249, 0.249, 0.254)

***

2.
A PBEsol-optimized structure of BaTcW, computed with SCAN.

* Fermi-level density of states: 2.6 states/eV/f.u.
* magnetic moment: 0.000 μB per cell
* space group: No. 156
* DFT formation energy: 0.852 eV/atom

abc: 4.101 4.101 5.548
angles: 90.00 90.00 120.00
Element x y z (fractional)
Ba (0.000, 0.000, 0.999)
W (0.667, 0.333, 0.489)
Tc (0.333, 0.667, 0.512)

***

3.
A PBEsol-optimized structure of Ta2Ir, computed with SCAN.

* Fermi-level density of states: 1.9 states/eV/f.u.
* magnetic moment: 0.000 μB per cell
* space group: No. 136
* DFT formation energy: -0.669 eV/atom

abc: 5.053 9.847 9.847
angles: 90.00 90.00 90.00
Element x y z (fractional)
Ta (0.751, 0.679, 0.679)
Ta (0.500, 0.896, 0.896)
Ta (0.251, 0.821, 0.179)
Ta (0.500, 0.963, 0.629)
Ta (0.751, 0.321, 0.321)
Ta (0.749, 0.821, 0.179)
Ta (0.000, 0.129, 0.537)
Ta (0.251, 0.179, 0.821)
Ta (0.749, 0.179, 0.821)
Ta (0.000, 0.396, 0.604)
Ta (0.000, 0.463, 0.871)
Ta (0.500, 0.629, 0.963)
Ta (0.249, 0.679, 0.679)
Ta (0.249, 0.321, 0.321)
Ta (0.500, 0.104, 0.104)
Ta (0.000, 0.537, 0.129)
Ta (0.000, 0.604, 0.396)
Ta (0.500, 0.037, 0.371)
Ta (0.000, 0.871, 0.463)
Ta (0.500, 0.371, 0.037)
Ir (0.500, 0.569, 0.238)
Ir (0.500, 0.500, 0.500)
Ir (0.000, 0.931, 0.738)
Ir (0.500, 0.238, 0.569)
Ir (0.000, 0.069, 0.262)
Ir (0.000, 0.738, 0.931)
Ir (0.500, 0.431, 0.762)
Ir (0.000, 0.000, 0.000)
Ir (0.500, 0.762, 0.431)
Ir (0.000, 0.262, 0.069)

***

4.
A PBEsol-optimized structure of Y2PtBr, computed with SCAN.

* Fermi-level density of states: 4.0 states/eV/f.u.
* magnetic moment: 1.086 μB per cell
* raw formation energy: -391.3 kJ/mol of formula units
* space group: No. 139

abc: 4.911 5.049 4.911
angles: 119.10 90.00 119.10
Last column: magnetic moment on the atom in μB.
Element x y z (fractional)
Y (0.750, 0.500, 0.250)  -0.33
Y (0.250, 0.500, 0.750)  -0.33
Br (0.500, 0.000, 0.500)  -0.04
Pt (0.000, 0.000, 0.000)  -0.05

***

Question: What is the Fermi-level density of states in the fourth record?
Answer: 4.0 states/eV/f.u.

***

Question: Look up the magnetic moment of the first one.
Answer: 0.000 μB per cell

***

Question: Which formula does entry 4 have?
Answer: Y2PtBr

***

Question: Among the records above, which one has the highest Fermi-level density of states?
Answer: Y2PtBr